1.
Entry from OQMD via LeMat-Bulk: a geometry-optimized TbLuOs structure (PBE). Values from VASP.

Output
- DFT total energy (eV for the cell shown) = -18.43
- symmetry = F-43m, No. 216

Geometry as Quantum ESPRESSO input:
```
&SYSTEM
  ibrav = 0, nat = 3, ntyp = 3
/
ATOMIC_SPECIES
Tb 158.93 Tb.upf
Lu 174.97 Lu.upf
Os 190.23 Os.upf
ATOMIC_POSITIONS crystal
Tb 0.000 0.000 0.000
Lu 0.750 0.750 0.750
Os 0.500 0.500 0.500
CELL_PARAMETERS angstrom
0.000 3.310 3.310
3.310 0.000 3.310
3.310 3.310 0.000
```

---

2.
Entry from OQMD via LeMat-Bulk: a geometry-optimized Tm3Lu2ZrTe2Os structure (PBE). Values from VASP.

Output
- DFT total energy (eV for the cell shown) = -54.23
- symmetry = Amm2, No. 38

Geometry as Quantum ESPRESSO input:
```
&SYSTEM
  ibrav = 0, nat = 9, ntyp = 5
/
ATOMIC_SPECIES
Tm 168.93 Tm.upf
Lu 174.97 Lu.upf
Zr 91.22 Zr.upf
Te 127.60 Te.upf
Os 190.23 Os.upf
ATOMIC_POSITIONS crystal
Tm 0.000 0.000 0.000
Tm 0.000 0.509 0.746
Tm 0.000 0.746 0.509
Lu 0.500 0.139 0.754
Lu 0.500 0.754 0.139
Zr 0.500 0.355 0.355
Te 0.000 0.097 0.419
Te 0.000 0.419 0.097
Os 0.500 0.774 0.774
CELL_PARAMETERS angstrom
3.911 0.000 0.000
0.000 6.839 4.209
0.000 -6.839 4.209
```

---

3.
Entry from OQMD via LeMat-Bulk: a geometry-optimized LuThOs structure (PBE). Values from VASP.

Output
- symmetry = F-43m, No. 216
- distance to the lowest polymorph of the same formula (meV/atom) = 0

Geometry as Quantum ESPRESSO input:
```
&SYSTEM
  ibrav = 0, nat = 3, ntyp = 3
/
ATOMIC_SPECIES
Lu 174.97 Lu.upf
Th 232.04 Th.upf
Os 190.23 Os.upf
ATOMIC_POSITIONS crystal
Lu 0.000 0.000 0.000
Th 0.500 0.500 0.500
Os 0.250 0.250 0.250
CELL_PARAMETERS angstrom
0.000 3.420 3.420
3.420 0.000 3.420
3.420 3.420 0.000
```